# 1
Density functional theory data (PBE) for a relaxed Cu2PAu crystal.

Values from the calculation:
- Magnetic moment: 0.00 μB per cell
- SG: No. 25
- Formation enthalpy at 0 K: 0.12 eV per atom
- N(E_F): 1.44 states/eV/cell
- Uncorrected energy: -4.104 eV per atom

abc: 4.032 2.957 4.829
angles: 90.00 90.00 90.00
Positions (direct):
Au (0.500, 0.625, 0.789)
Cu (0.000, 0.125, 0.001)
Cu (0.500, 0.125, 0.309)
P (0.000, 0.625, 0.401)



# 2
Density functional theory data (PBE) for a relaxed Cr2Pb crystal.

Values from the calculation:
- Magnetic moment: 0.00 μB per cell
- Excess energy over the best structure of this formula in the dataset: 264 meV/atom
- SG: No. 164
- Formation enthalpy at 0 K: 0.69 eV per atom
- N(E_F): 2.12 states/eV/cell
- Uncorrected energy: -6.957 eV per atom

abc: 3.056 3.056 6.490
angles: 90.00 90.00 120.00
Positions (direct):
Cr (0.667, 0.333, 0.610)
Cr (0.333, 0.667, 0.390)
Pb (0.000, 0.000, 0.000)



# 3
Density functional theory data (PBE) for a relaxed Y4C23 crystal.

Values from the calculation:
- Magnetic moment: 0.00 μB per cell
- SG: No. 223
- Formation enthalpy at 0 K: 0.80 eV per atom
- N(E_F): 4.08 states/eV/cell
- Uncorrected energy: -8.010 eV per atom

abc: 7.444 7.444 7.444
angles: 90.00 90.00 90.00
Positions (direct):
Y (0.000, 0.000, 0.000)
Y (0.500, 0.500, 0.500)
Y (0.250, 0.500, 0.000)
Y (0.750, 0.500, 0.000)
Y (0.500, 0.000, 0.250)
Y (0.500, 0.000, 0.750)
Y (0.000, 0.250, 0.500)
Y (0.000, 0.750, 0.500)
C (0.250, 0.000, 0.500)
C (0.750, 0.000, 0.500)
C (0.000, 0.500, 0.250)
C (0.000, 0.500, 0.750)
C (0.500, 0.250, 0.000)
C (0.500, 0.750, 0.000)
C (0.812, 0.812, 0.812)
C (0.812, 0.188, 0.188)
C (0.188, 0.812, 0.188)
C (0.188, 0.188, 0.812)
C (0.688, 0.688, 0.688)
C (0.688, 0.312, 0.312)
C (0.312, 0.688, 0.312)
C (0.312, 0.312, 0.688)
C (0.188, 0.188, 0.188)
C (0.188, 0.812, 0.812)
C (0.812, 0.188, 0.812)
C (0.812, 0.812, 0.188)
C (0.312, 0.312, 0.312)
C (0.312, 0.688, 0.688)
C (0.688, 0.312, 0.688)
C (0.688, 0.688, 0.312)
C (0.000, 0.706, 0.177)
C (0.000, 0.294, 0.823)
C (0.000, 0.706, 0.823)
C (0.000, 0.294, 0.177)
C (0.706, 0.177, 0.000)
C (0.706, 0.823, 0.000)
C (0.294, 0.177, 0.000)
C (0.294, 0.823, 0.000)
C (0.177, 0.000, 0.706)
C (0.177, 0.000, 0.294)
C (0.823, 0.000, 0.294)
C (0.823, 0.000, 0.706)
C (0.794, 0.500, 0.323)
C (0.794, 0.500, 0.677)
C (0.206, 0.500, 0.677)
C (0.206, 0.500, 0.323)
C (0.500, 0.323, 0.794)
C (0.500, 0.677, 0.206)
C (0.500, 0.323, 0.206)
C (0.500, 0.677, 0.794)
C (0.323, 0.794, 0.500)
C (0.323, 0.206, 0.500)
C (0.677, 0.794, 0.500)
C (0.677, 0.206, 0.500)